DFT (PBE) results for ErThCuAu after structural relaxation.

Unit cell a=4.462 b=5.909 c=5.909 alpha=37.54 beta=90.00 gamma=90.00
Fractional positions:
Er 0.000 0.000 0.000
Th 0.500 0.717 0.717
Cu 0.000 0.277 0.277
Au 0.500 0.438 0.438

---

DFT (PBE) results for ErThCuAu after structural relaxation.

Unit cell a=5.095 b=5.095 c=5.095 alpha=60.00 beta=60.00 gamma=60.00
Fractional positions:
Er 0.000 0.000 0.000
Th 0.500 0.500 0.500
Cu 0.750 0.750 0.750
Au 0.250 0.250 0.250

---

DFT (PBE) results for YErCuAu after structural relaxation.

Unit cell a=4.999 b=4.999 c=4.999 alpha=60.00 beta=60.00 gamma=60.00
Fractional positions:
Y 0.000 0.000 0.000
Er 0.500 0.500 0.500
Cu 0.250 0.250 0.250
Au 0.750 0.750 0.750

---

DFT (PBE) results for Er4ZnCu2Au after structural relaxation.

Unit cell a=8.614 b=8.614 c=8.614 alpha=33.31 beta=33.31 gamma=33.31
Fractional positions:
Er 0.125 0.125 0.125
Er 0.375 0.375 0.375
Er 0.625 0.625 0.625
Er 0.875 0.875 0.875
Zn 0.000 0.000 0.000
Cu 0.255 0.255 0.255
Cu 0.745 0.745 0.745
Au 0.500 0.500 0.500

---

DFT (PBE) results for ErZn2CuAu4 after structural relaxation.

Unit cell a=8.078 b=8.078 c=8.078 alpha=33.27 beta=33.27 gamma=33.27
Fractional positions:
Er 0.000 0.000 0.000
Zn 0.251 0.251 0.251
Zn 0.749 0.749 0.749
Cu 0.500 0.500 0.500
Au 0.131 0.131 0.131
Au 0.388 0.388 0.388
Au 0.612 0.612 0.612
Au 0.869 0.869 0.869

---

DFT (PBE) results for ErZnCuAu after structural relaxation.

Unit cell a=4.691 b=4.691 c=4.691 alpha=60.00 beta=60.00 gamma=60.00
Fractional positions:
Er 0.000 0.000 0.000
Zn 0.500 0.500 0.500
Cu 0.750 0.750 0.750
Au 0.250 0.250 0.250

---

DFT (PBE) results for ErZrCuAu after structural relaxation.

Unit cell a=4.864 b=4.864 c=4.864 alpha=60.00 beta=60.00 gamma=60.00
Fractional positions:
Er 0.000 0.000 0.000
Zr 0.500 0.500 0.500
Cu 0.750 0.750 0.750
Au 0.250 0.250 0.250

---

DFT (PBE) results for Eu2CuAu after structural relaxation.

Unit cell a=3.709 b=3.709 c=7.384 alpha=90.00 beta=90.00 gamma=90.00
Fractional positions:
Eu 0.000 0.000 0.246
Eu 0.000 0.000 0.754
Cu 0.500 0.500 0.000
Au 0.500 0.500 0.500

---

The calculation returns the following DFT total energy values, one per record and in order: -5.302, -5.246, -5.156, -4.317, -3.410, -3.718, -5.482, -7.412 eV per atom.